TaCr PBE optimized geometry; V = 16.220 Å³ per atom; energy relative to the elements = 507.2 meV/atom
1.0
2.867 0.000 0.000
-1.434 2.483 0.000
0.000 0.000 4.556
Ta Cr
1 1
direct
0.000 0.000 0.000
0.667 0.333 0.500